KRb2NaAu2: optimized geometry, PBE-GGA.

Geometry as POSCAR:
```
KRb2NaAu2
1.0
5.2366 0.0000 0.0000
0.0000 10.1661 0.0000
0.0000 0.0000 8.6897
K Rb Na Au
2 4 2 4
Cartesian
0.0000 0.5897 0.0000
0.0000 9.5764 4.3448
0.0000 3.2957 3.2867
0.0000 6.8705 7.6316
2.6183 4.0911 0.3568
2.6183 6.0750 4.7016
2.6183 1.8291 5.8310
2.6183 8.3370 1.4862
0.0000 3.4206 6.6915
0.0000 6.7455 2.3467
2.6183 1.0739 2.6055
2.6183 9.0923 6.9503
```

Output
energy of formation	-0.19	eV per atom
magnetization	0.0	Bohr magnetons per cell

---

Sm2ErIr: optimized geometry, PBE-GGA.

Geometry as POSCAR:
```
Sm2ErIr
1.0
1.8835 1.0874 10.5968
-1.8835 1.0874 10.5968
0.0000 -2.1748 10.5968
Sm Er Ir
2 1 1
Cartesian
0.0000 0.0000 3.5476
0.0000 0.0000 28.2427
0.0000 0.0000 0.0000
0.0000 0.0000 15.8951
```

Output
energy of formation	-0.05	eV per atom
magnetization	0.4	Bohr magnetons per cell
E above lowest polymorph	0.475	eV/atom

---

RbSrCeCl6: optimized geometry, PBE-GGA.

Geometry as POSCAR:
```
RbSrCeCl6
1.0
7.5404 0.0000 0.0000
-3.7702 6.5301 0.0000
0.0000 0.0000 13.8976
Rb Sr Ce Cl
2 2 2 12
Cartesian
0.0000 0.0000 0.0000
0.0000 0.0000 6.9488
0.0000 4.3534 3.4744
3.7702 2.1767 10.4232
0.0000 4.3534 10.4232
3.7702 2.1767 3.4744
-1.3185 2.4612 8.8749
-2.2979 4.1577 11.9715
1.3185 2.4612 11.9715
-0.9795 6.4414 8.8749
2.7907 0.0888 1.9261
1.4723 2.3724 5.0227
2.2979 4.1577 8.8749
0.9795 6.4414 11.9715
4.7496 0.0888 5.0227
2.4517 4.0689 1.9261
6.0681 2.3724 1.9261
5.0886 4.0689 5.0227
```

Output
magnetization	2.0	Bohr magnetons per cell
E_form (uncorrected)	-2.264	eV per atom

---

Er2Au3: optimized geometry, PBE-GGA.

Geometry as POSCAR:
```
Er2Au3
1.0
-4.9641 4.9641 4.9641
4.9641 -4.9641 4.9641
4.9641 4.9641 -4.9641
Er Au
8 12
Cartesian
2.8634 2.1008 -2.1008
5.3454 -0.3813 0.3813
2.1008 -2.1008 2.8634
2.1008 2.1008 2.1008
-2.1008 2.8634 2.1008
0.3813 5.3454 -0.3813
-0.3813 0.3813 5.3454
4.5828 4.5828 4.5828
2.4821 0.1573 0.0000
4.9641 2.4821 -0.1573
0.1573 0.0000 2.4821
7.2889 0.0000 2.4821
0.0000 2.4821 0.1573
2.4821 -0.1573 4.9641
4.9641 2.4821 2.6393
2.4821 7.2889 0.0000
-0.1573 4.9641 2.4821
2.6393 4.9641 2.4821
2.4821 2.6393 4.9641
0.0000 2.4821 7.2889
```

Output
energy of formation	-0.65	eV per atom
magnetization	0.0	Bohr magnetons per cell

---

no.,DFT total energy (eV per cell)
1,-24.09
2,-23.06
3,-80.07
4,-88.92